No. 1
First-principles (SCAN) data for a crystal of MnAg2Se relaxed with PBEsol, as listed in Alexandria via LeMat-Bulk.

The structure belongs to space group Imm2 (No. 44); the cell edges are 3.609, 4.401 and 8.647 Å and the angles 90.00°, 90.00° and 90.00°. The asymmetric unit holds Mn at (0.000, 0.000, 0.000), Ag at (0.000, 0.000, 0.482), Ag at (0.000, 0.500, 0.256) and Se at (0.000, 0.500, 0.703).

The density of states at the Fermi level is 3.47 states/eV/cell. Its uncorrected formation energy is 0.070 eV per formula unit. The calculated volume is 68.7 Å³/f.u.

No. 2
First-principles (SCAN) data for a crystal of La2AgOs relaxed with PBEsol, as listed in Alexandria via LeMat-Bulk.

The structure belongs to space group P4mm (No. 99); the cell edges are 3.643, 3.643 and 6.635 Å and the angles 90.00°, 90.00° and 90.00°. The asymmetric unit holds La at (0.000, 0.000, 0.000), La at (0.500, 0.500, 0.317), Ag at (0.500, 0.500, 0.755) and Os at (0.000, 0.000, 0.545).

The density of states at the Fermi level is 2.57 states/eV/cell. The formation energy comes out at 0.264 eV per atom. The calculated volume is 88.0 Å³/f.u.

No. 3
First-principles (SCAN) data for a crystal of Co5Tc relaxed with PBEsol, as listed in Alexandria via LeMat-Bulk.

The structure belongs to space group Cm (No. 8); the cell edges are 9.064, 2.513 and 5.872 Å and the angles 90.00°, 104.39° and 90.00°. The asymmetric unit holds Co at (0.000, 0.000, 0.000), Co at (0.056, 0.000, 0.599), Co at (0.172, 0.500, 0.332), Co at (0.339, 0.000, 0.657), Co at (0.395, 0.000, 0.278) and Tc at (0.223, 0.500, 0.937).

The density of states at the Fermi level is 11.40 states/eV/cell. The formation energy comes out at 0.172 eV per atom. The calculated volume is 64.8 Å³/f.u.

No. 4
First-principles (SCAN) data for a crystal of CeTeCl relaxed with PBEsol, as listed in Alexandria via LeMat-Bulk.

The structure belongs to space group Pnma (No. 62); the cell edges are 7.810, 4.351 and 9.208 Å and the angles 90.00°, 90.00° and 90.00°. The asymmetric unit holds Ce at (0.236, 0.250, 0.134), Te at (0.036, 0.750, 0.333) and Cl at (0.136, 0.750, 0.940).

The density of states at the Fermi level is 1.77 states/eV/cell. Its uncorrected formation energy is -6.104 eV per formula unit. The calculated volume is 78.2 Å³/f.u.

No. 5
First-principles (SCAN) data for a crystal of LiAl2 relaxed with PBEsol, as listed in Alexandria via LeMat-Bulk.

The structure belongs to space group Cmcm (No. 63); the cell edges are 2.973, 14.479 and 4.464 Å and the angles 90.00°, 90.00° and 90.00°. The asymmetric unit holds Li at (0.000, 0.109, 0.250), Al at (0.000, 0.222, 0.750) and Al at (0.000, 0.445, 0.250).

The density of states at the Fermi level is 4.31 states/eV/cell. The formation energy comes out at -0.070 eV per atom. The calculated volume is 48.0 Å³/f.u.

No. 6
First-principles (SCAN) data for a crystal of Ba2CaMgAl2F14 relaxed with PBEsol, as listed in Alexandria via LeMat-Bulk.

The structure belongs to space group C2/c (No. 15); the cell edges are 13.545, 5.201 and 14.566 Å and the angles 90.00°, 91.96° and 90.00°. The asymmetric unit holds Ba at (0.192, 0.040, 0.118), Ca at (0.000, 0.438, 0.750), Mg at (0.000, 0.500, 0.000), Al at (0.117, 0.005, 0.378), F at (0.008, 0.063, 0.659), F at (0.065, 0.442, 0.120), F at (0.079, 0.187, 0.477), F at (0.114, 0.289, 0.950), F at (0.127, 0.283, 0.306), F at (0.159, 0.199, 0.784) and F at (0.242, 0.042, 0.421).

The density of states at the Fermi level is 0.00 states/eV/cell. Its uncorrected formation energy is -80.557 eV per formula unit. The calculated volume is 256.4 Å³/f.u.

No. 7
First-principles (SCAN) data for a crystal of LiMgAlCr2 relaxed with PBEsol, as listed in Alexandria via LeMat-Bulk.

The structure belongs to space group P4/mmm (No. 123); the cell edges are 4.819, 4.819 and 5.069 Å and the angles 90.00°, 90.00° and 90.00°. The asymmetric unit holds Li at (0.000, 0.000, 0.000), Mg at (0.500, 0.500, 0.000), Al at (0.500, 0.500, 0.500) and Cr at (0.000, 0.500, 0.500).

The density of states at the Fermi level is 2.91 states/eV/cell. The formation energy comes out at 0.694 eV per atom. The calculated volume is 117.7 Å³/f.u.

No. 8
First-principles (SCAN) data for a crystal of AgHOs2Pd relaxed with PBEsol, as listed in Alexandria via LeMat-Bulk.

The structure belongs to space group P4/mmm (No. 123); the cell edges are 5.000, 5.000 and 2.856 Å and the angles 90.00°, 90.00° and 90.00°. The asymmetric unit holds Ag at (0.000, 0.000, 0.000), H at (0.500, 0.500, 0.000), Os at (0.000, 0.500, 0.500) and Pd at (0.500, 0.500, 0.500).

The electronic total energy comes out at -40.685 eV/atom. The density of states at the Fermi level is 3.58 states/eV/cell. The calculated volume is 71.4 Å³/f.u.

No. 9
First-principles (SCAN) data for a crystal of Ca2AlH8S2ClO12F2 relaxed with PBEsol, as listed in Alexandria via LeMat-Bulk.

The structure belongs to space group I4/m (No. 87); the cell edges are 6.837, 6.837 and 13.127 Å and the angles 90.00°, 90.00° and 90.00°. The asymmetric unit holds Ca at (0.000, 0.000, 0.199), Al at (0.000, 0.000, 0.500), H at (0.109, 0.662, 0.438), S at (0.000, 0.500, 0.250), Cl at (0.000, 0.000, 0.000), O at (0.055, 0.725, 0.500), O at (0.068, 0.337, 0.184) and F at (0.000, 0.000, 0.365).

The electronic total energy comes out at -7.841 eV/atom. The density of states at the Fermi level is 0.00 states/eV/cell. The calculated volume is 306.8 Å³/f.u.

No. 10
First-principles (SCAN) data for a crystal of SiOs2Cl relaxed with PBEsol, as listed in Alexandria via LeMat-Bulk.

The structure belongs to space group Pmmm (No. 47); the cell edges are 2.755, 4.081 and 5.101 Å and the angles 90.00°, 90.00° and 90.00°. The asymmetric unit holds Si at (0.000, 0.000, 0.000), Os at (0.000, 0.500, 0.500), Os at (0.500, 0.500, 0.000) and Cl at (0.500, 0.000, 0.500).

The density of states at the Fermi level is 2.69 states/eV/cell. Its uncorrected formation energy is 3.410 eV per formula unit. The calculated volume is 57.3 Å³/f.u.

No. 11
First-principles (SCAN) data for a crystal of ZrCrCd2 relaxed with PBEsol, as listed in Alexandria via LeMat-Bulk.

The structure belongs to space group I-4m2 (No. 119); the cell edges are 4.280, 4.280 and 8.199 Å and the angles 90.00°, 90.00° and 90.00°. The asymmetric unit holds Zr at (0.000, 0.000, 0.000), Cr at (0.000, 0.500, 0.750), Cd at (0.000, 0.000, 0.500) and Cd at (0.000, 0.500, 0.250).

The density of states at the Fermi level is 6.46 states/eV/cell. The formation energy comes out at 0.078 eV per atom. The calculated volume is 75.1 Å³/f.u.

No. 12
First-principles (SCAN) data for a crystal of CaAlAg2 relaxed with PBEsol, as listed in Alexandria via LeMat-Bulk.

The structure belongs to space group R-3m (No. 166, hexagonal axes); the cell edges are 4.5278, 4.5278 and 14.2062 Å and the angles 90.00°, 90.00° and 120.00°. The asymmetric unit holds Ca at (0.0000, 0.0000, 0.0000), Al at (0.0000, 0.0000, 0.5000) and Ag at (0.0000, 0.0000, 0.2088).

The density of states at the Fermi level is 3.99 states/eV/cell. The formation energy comes out at -0.306 eV per atom. The calculated volume is 84.1 Å³/f.u.

No. 13
First-principles (SCAN) data for a crystal of SrLa relaxed with PBEsol, as listed in Alexandria via LeMat-Bulk.

The structure belongs to space group P4/nmm (No. 129, origin choice 2); the cell edges are 3.829, 3.829 and 11.391 Å and the angles 90.00°, 90.00° and 90.00°. The asymmetric unit holds Sr at (0.250, 0.250, 0.142) and La at (0.250, 0.250, 0.602).

The density of states at the Fermi level is 4.90 states/eV/cell. The formation energy comes out at 0.075 eV per atom. The calculated volume is 83.5 Å³/f.u.

No. 14
First-principles (SCAN) data for a crystal of ZrSc relaxed with PBEsol, as listed in Alexandria via LeMat-Bulk.

The structure belongs to space group R-3m (No. 166, hexagonal axes); the cell edges are 3.1426, 3.1426 and 15.7282 Å and the angles 90.00°, 90.00° and 120.00°. The asymmetric unit holds Zr at (0.0000, 0.0000, 0.0000) and Sc at (0.0000, 0.0000, 0.5000).

The density of states at the Fermi level is 8.72 states/eV/cell. The formation energy comes out at 0.068 eV per atom. The calculated volume is 44.8 Å³/f.u.

No. 15
First-principles (SCAN) data for a crystal of LuZn2 relaxed with PBEsol, as listed in Alexandria via LeMat-Bulk.

The structure belongs to space group Imma (No. 74); the cell edges are 4.342, 6.740 and 7.399 Å and the angles 90.00°, 90.00° and 90.00°. The asymmetric unit holds Lu at (0.000, 0.250, 0.030) and Zn at (0.000, 0.042, 0.666).

The density of states at the Fermi level is 5.45 states/eV/cell. The formation energy comes out at -0.479 eV per atom. The calculated volume is 54.1 Å³/f.u.

No. 16
First-principles (SCAN) data for a crystal of Fe2AuCl relaxed with PBEsol, as listed in Alexandria via LeMat-Bulk.

The structure belongs to space group Pmmm (No. 47); the cell edges are 2.922, 3.726 and 6.263 Å and the angles 90.00°, 90.00° and 90.00°. The asymmetric unit holds Fe at (0.000, 0.000, 0.190), Au at (0.500, 0.500, 0.000) and Cl at (0.500, 0.000, 0.500).

The density of states at the Fermi level is 1.98 states/eV/cell. Its uncorrected formation energy is -0.509 eV per formula unit. The calculated volume is 68.2 Å³/f.u.

No. 17
First-principles (SCAN) data for a crystal of CoTc2Ru relaxed with PBEsol, as listed in Alexandria via LeMat-Bulk.

The structure belongs to space group P2/m (No. 10); the cell edges are 4.530, 2.646 and 4.553 Å and the angles 90.00°, 109.19° and 90.00°. The asymmetric unit holds Co at (0.000, 0.000, 0.000), Tc at (0.000, 0.500, 0.500), Tc at (0.500, 0.000, 0.500) and Ru at (0.500, 0.500, 0.000).

The density of states at the Fermi level is 5.06 states/eV/cell. The formation energy comes out at 0.209 eV per atom. The calculated volume is 51.5 Å³/f.u.

No. 18
First-principles (SCAN) data for a crystal of Li2Ni3SbO8 relaxed with PBEsol, as listed in Alexandria via LeMat-Bulk.

The structure belongs to space group P31c (No. 159); the cell edges are 5.7667, 5.7667 and 9.4244 Å and the angles 90.00°, 90.00° and 120.00°. The asymmetric unit holds Li at (0.0000, 0.0000, 0.0000), Li at (0.3333, 0.6667, 0.0855), Ni at (0.1628, 0.3386, 0.7750), Sb at (0.3333, 0.6667, 0.5019), O at (0.0000, 0.0000, 0.1915), O at (0.0306, 0.5440, 0.6471), O at (0.1429, 0.3233, 0.3956) and O at (0.3333, 0.6667, 0.8682).

Its uncorrected formation energy is -22.166 eV per formula unit. The calculated volume is 135.7 Å³/f.u.

No. 19
First-principles (SCAN) data for a crystal of TlMoN2 relaxed with PBEsol, as listed in Alexandria via LeMat-Bulk.

The structure belongs to space group Fm-3m (No. 225); the cell edges are 5.701, 5.701 and 5.701 Å and the angles 90.00°, 90.00° and 90.00°. The asymmetric unit holds Tl at (0.000, 0.000, 0.000), Mo at (0.000, 0.000, 0.500) and N at (0.250, 0.250, 0.250).

The density of states at the Fermi level is 9.07 states/eV/cell. Its uncorrected formation energy is 5.898 eV per formula unit. The calculated volume is 46.3 Å³/f.u.

No. 20
First-principles (SCAN) data for a crystal of SrTeIr relaxed with PBEsol, as listed in Alexandria via LeMat-Bulk.

The structure belongs to space group P-6m2 (No. 187); the cell edges are 4.4348, 4.4348 and 4.4884 Å and the angles 90.00°, 90.00° and 120.00°. The asymmetric unit holds Sr at (0.0000, 0.0000, 0.0000), Te at (0.3333, 0.6667, 0.5000) and Ir at (0.6667, 0.3333, 0.5000).

The density of states at the Fermi level is 1.98 states/eV/cell. Its uncorrected formation energy is -2.364 eV per formula unit. The calculated volume is 76.4 Å³/f.u.